An optimized crystal structure of TbSm4Rh2, computed with PBE.

Cell lengths 7.9482, 6.4875, 8.0329 Å; angles 90.00, 113.44, 90.00 degrees
With the nearest neighbours (Å) after each atom.
Fractional coordinates of all 14 atoms:
Tb: 0.1552 0.2500 0.0307  2 Rh 2.82-3.06
Tb: 0.8448 0.7500 0.9693  2 Rh 2.82-3.06
Sm: 0.0164 0.2500 0.3811  2 Rh 2.74-2.87
Sm: 0.2490 0.7500 0.3385  2 Rh 2.76-2.90
Sm: 0.4115 0.0041 0.7664  4 Rh 3.10-3.20, 3 Sm 3.19-3.44
Sm: 0.4115 0.4959 0.7664  4 Rh 3.10-3.20, 3 Sm 3.19-3.44
Sm: 0.5885 0.5041 0.2336  4 Rh 3.10-3.20, 3 Sm 3.19-3.44
Sm: 0.5885 0.9959 0.2336  4 Rh 3.10-3.20, 3 Sm 3.19-3.44
Sm: 0.7510 0.2500 0.6615  2 Rh 2.76-2.90
Sm: 0.9836 0.7500 0.6189  2 Rh 2.74-2.87
Rh: 0.2377 0.7500 0.9910  2 Sm 2.76-2.87, 1 Tb 3.06
Rh: 0.3703 0.2500 0.4068  2 Sm 2.74-2.90, 1 Tb 2.82
Rh: 0.6297 0.7500 0.5932  2 Sm 2.74-2.90, 1 Tb 2.82
Rh: 0.7623 0.2500 0.0090  2 Sm 2.76-2.87, 1 Tb 3.06

Summary:
ΔH_f (0 K) = -0.402 eV/atom
VASP energy = -5.86 eV/atom
theoretical density = 8.44 Mg/m³